VASP calculation (meta-GGA SCAN) on a PBEsol-optimized structure of ReSi2HRh.

```
5
Lattice="-2.984 0.375 0.717 0.013 -4.029 2.163 1.197 2.090 3.887" Properties=species:S:1:pos:R:3 pbc="T T T"
H -1.492 0.188 0.359
Re -0.887 -0.782 3.383
Si 0.006 -2.014 1.081
Si 0.598 1.045 1.943
Rh 0.000 0.000 0.000
```

Results
uncorrected energy = -125.37 eV/cell

***

VASP calculation (meta-GGA SCAN) on a PBEsol-optimized structure of SrRe2HRh.

```
5
Lattice="-0.537 2.952 -3.510 -1.450 -3.462 -2.690 -5.593 1.014 1.709" Properties=species:S:1:pos:R:3 pbc="T T T"
Re -0.725 -1.731 -1.345
Re -0.269 1.476 -1.755
H -3.790 0.252 -2.246
Rh 0.000 0.000 0.000
Sr -2.796 0.507 0.854
```

Results
uncorrected energy = -192.85 eV/cell

***

VASP calculation (meta-GGA SCAN) on a PBEsol-optimized structure of ReHS3.

```
5
Lattice="-0.608 -1.849 -3.360 3.748 0.436 -0.919 0.815 -3.387 1.716" Properties=species:S:1:pos:R:3 pbc="T T T"
S 1.874 0.218 -0.459
S 0.407 -1.693 0.858
S -0.304 -0.924 -1.680
Re 1.977 -2.400 -1.282
H 0.000 0.000 0.000
```

Results
uncorrected energy = -95.90 eV/cell

***

VASP calculation (meta-GGA SCAN) on a PBEsol-optimized structure of ScRe2SbH.

```
5
Lattice="-0.064 -3.129 2.353 -1.079 -2.248 -3.019 4.484 -0.831 -0.984" Properties=species:S:1:pos:R:3 pbc="T T T"
Sb 2.242 -0.415 -0.492
Re -0.539 -1.124 -1.509
Re -0.032 -1.565 1.176
H 0.000 0.000 0.000
Sc 1.671 -3.104 -0.825
```

Results
uncorrected energy = -195.59 eV/cell

***

VASP calculation (meta-GGA SCAN) on a PBEsol-optimized structure of ReSb2TeH.

```
5
Lattice="4.245 0.000 0.000 0.000 4.245 0.000 0.000 0.000 5.066" Properties=species:S:1:pos:R:3 pbc="T T T"
Sb 0.000 2.123 0.000
Sb 2.123 0.000 0.000
Te 0.000 0.000 2.533
Re 2.123 2.123 2.533
H 0.000 0.000 0.000
```

Results
uncorrected energy = -180.15 eV/cell

***

VASP calculation (meta-GGA SCAN) on a PBEsol-optimized structure of ScReH2.

```
4
Lattice="3.808 0.000 0.000 1.904 3.298 0.000 1.904 1.099 3.109" Properties=species:S:1:pos:R:3 pbc="T T T"
H 5.712 3.298 2.332
H 1.904 1.099 0.777
Re 3.808 2.199 1.555
Sc 0.000 0.000 0.000
```

Results
distance to the lowest polymorph of the same formula = 606.0 meV per atom
uncorrected energy = -90.11 eV/cell

***

VASP calculation (meta-GGA SCAN) on a PBEsol-optimized structure of ScReH2.

```
8
Lattice="4.197 0.000 0.000 0.000 4.197 0.000 -2.098 -2.098 4.578" Properties=species:S:1:pos:R:3 pbc="T T T"
Sc 2.098 0.000 2.289
Sc 2.098 2.098 0.000
H 1.049 1.210 3.434
H 0.888 3.148 1.145
H -1.049 -1.210 3.434
H 3.309 1.049 1.145
Re 0.000 0.000 0.000
Re 0.000 2.098 2.289
```

Results
distance to the lowest polymorph of the same formula = 0.0 meV per atom
uncorrected energy = -185.06 eV/cell

***

VASP calculation (meta-GGA SCAN) on a PBEsol-optimized structure of Sc3ReH.

```
5
Lattice="5.003 0.000 0.000 0.000 5.003 0.000 0.000 0.000 5.003" Properties=species:S:1:pos:R:3 pbc="T T T"
H 2.502 2.502 2.502
Re 0.000 0.000 0.000
Sc 0.000 2.502 0.000
Sc 0.000 0.000 2.502
Sc 2.502 0.000 0.000
```

Results
uncorrected energy = -113.49 eV/cell

***

VASP calculation (meta-GGA SCAN) on a PBEsol-optimized structure of ScRe2H.

```
4
Lattice="4.250 0.000 0.000 2.125 3.680 0.000 2.125 1.227 3.470" Properties=species:S:1:pos:R:3 pbc="T T T"
Re 6.374 3.680 2.602
Re 2.125 1.227 0.867
Sc 4.250 2.454 1.735
H 0.000 0.000 0.000
```

Results
uncorrected energy = -153.90 eV/cell

***

VASP calculation (meta-GGA SCAN) on a PBEsol-optimized structure of Re2TcSnH.

```
5
Lattice="3.238 0.000 0.000 0.000 4.812 0.000 0.000 0.000 4.812" Properties=species:S:1:pos:R:3 pbc="T T T"
Re 0.000 0.000 2.406
Re 0.000 2.406 0.000
Sn 1.619 2.406 2.406
H 1.619 0.000 0.000
Tc 0.000 0.000 0.000
```

Results
uncorrected energy = -210.76 eV/cell

***

VASP calculation (meta-GGA SCAN) on a PBEsol-optimized structure of SrReH2.

```
8
Lattice="-1.431 -1.908 4.591 -3.111 -0.696 -4.075 4.004 -2.158 -2.465" Properties=species:S:1:pos:R:3 pbc="T T T"
Re 0.000 0.000 0.000
Re -2.048 -2.016 -1.377
H -1.851 -0.938 -2.809
H 1.089 -3.111 2.495
H -0.611 -1.660 -0.347
H 0.296 -3.816 -3.237
Sr 0.447 -1.427 -3.270
Sr 1.510 -2.747 -0.572
```

Results
uncorrected energy = -197.58 eV/cell

***

VASP calculation (meta-GGA SCAN) on a PBEsol-optimized structure of Re2TcH.

```
4
Lattice="4.157 0.000 0.000 2.078 3.600 0.000 2.078 1.200 3.394" Properties=species:S:1:pos:R:3 pbc="T T T"
Tc 4.157 2.400 1.697
Re 6.235 3.600 2.545
Re 2.078 1.200 0.848
H 0.000 0.000 0.000
```

Results
uncorrected energy = -177.27 eV/cell

***

VASP calculation (meta-GGA SCAN) on a PBEsol-optimized structure of ReTc3H.

```
5
Lattice="-2.174 -2.741 3.066 -1.333 -2.811 -3.458 3.890 -2.495 0.529" Properties=species:S:1:pos:R:3 pbc="T T T"
Tc -1.087 -1.370 1.533
Tc -0.666 -1.406 -1.729
Tc 1.945 -1.247 0.264
Re 0.000 0.000 0.000
H 0.192 -4.023 0.068
```

Results
distance to the lowest polymorph of the same formula = 2275.1 meV per atom
uncorrected energy = -168.09 eV/cell

***

VASP calculation (meta-GGA SCAN) on a PBEsol-optimized structure of ReTc2H.

```
4
Lattice="4.144 0.000 0.000 2.072 3.589 0.000 2.072 1.196 3.384" Properties=species:S:1:pos:R:3 pbc="T T T"
Tc 2.072 1.196 0.846
Tc 6.217 3.589 2.538
Re 4.144 2.393 1.692
H 0.000 0.000 0.000
```

Results
uncorrected energy = -142.13 eV/cell

***

VASP calculation (meta-GGA SCAN) on a PBEsol-optimized structure of ReTc3H.

```
5
Lattice="-0.520 1.929 -3.325 -3.076 -2.222 -0.808 -2.306 2.528 1.828" Properties=species:S:1:pos:R:3 pbc="T T T"
H 0.000 0.000 0.000
Tc -0.260 0.965 -1.663
Tc -1.538 -1.111 -0.404
Tc -1.153 1.264 0.914
Re -2.951 1.118 -1.153
```

Results
distance to the lowest polymorph of the same formula = 0.0 meV per atom
uncorrected energy = -179.46 eV/cell

***

VASP calculation (meta-GGA SCAN) on a PBEsol-optimized structure of Ti2ReH2.

```
5
Lattice="3.103 0.000 0.000 0.000 3.103 0.000 -1.552 -1.552 5.209" Properties=species:S:1:pos:R:3 pbc="T T T"
H 1.552 0.000 2.605
H 0.000 1.552 2.605
Re 0.000 0.000 0.000
Ti 0.000 0.000 3.706
Ti 1.552 1.552 1.504
```

Results
uncorrected energy = -112.71 eV/cell

***

VASP calculation (meta-GGA SCAN) on a PBEsol-optimized structure of Ti3ReH.

```
5
Lattice="-3.503 0.523 -1.851 0.412 -3.552 -1.785 -1.878 -1.756 3.060" Properties=species:S:1:pos:R:3 pbc="T T T"
Ti -1.752 0.262 -0.925
Ti 0.206 -1.776 -0.892
Ti -0.939 -0.878 1.530
Re -2.485 -2.392 -0.288
H 0.000 0.000 0.000
```

Results
uncorrected energy = -123.51 eV/cell

***

VASP calculation (meta-GGA SCAN) on a PBEsol-optimized structure of Tl3ReH.

```
5
Lattice="-4.092 -0.738 1.828 1.667 -3.542 2.303 1.051 2.746 3.462" Properties=species:S:1:pos:R:3 pbc="T T T"
Re -0.687 -0.767 3.796
Tl 0.834 -1.771 1.151
Tl 0.526 1.373 1.731
Tl -2.046 -0.369 0.914
H 0.000 0.000 0.000
```

Results
uncorrected energy = -285.65 eV/cell

***

VASP calculation (meta-GGA SCAN) on a PBEsol-optimized structure of Tl2ReH.

```
4
Lattice="4.670 0.000 0.000 2.335 4.044 0.000 2.335 1.348 3.813" Properties=species:S:1:pos:R:3 pbc="T T T"
Tl 2.335 1.348 0.953
Tl 7.005 4.044 2.860
Re 4.670 2.696 1.907
H 0.000 0.000 0.000
```

Results
uncorrected energy = -213.49 eV/cell

***

VASP calculation (meta-GGA SCAN) on a PBEsol-optimized structure of TlReHW2.

```
5
Lattice="-1.519 2.285 -1.481 -3.675 -3.254 -1.253 -2.464 1.135 4.278" Properties=species:S:1:pos:R:3 pbc="T T T"
Re -3.829 0.083 0.772
W -1.837 -1.627 -0.626
W -1.232 0.568 2.139
H -0.759 1.143 -0.741
Tl 0.000 0.000 0.000
```

Results
uncorrected energy = -275.39 eV/cell

***

VASP calculation (meta-GGA SCAN) on a PBEsol-optimized structure of ReH3W.

```
5
Lattice="-1.795 1.434 2.533 -2.886 -0.493 -1.767 -0.375 -3.065 1.469" Properties=species:S:1:pos:R:3 pbc="T T T"
Re 0.000 0.000 0.000
H -0.188 -1.533 0.734
H -1.443 -0.247 -0.883
H -0.898 0.717 1.267
W -2.528 -1.063 1.118
```

Results
uncorrected energy = -146.64 eV/cell

***

VASP calculation (meta-GGA SCAN) on a PBEsol-optimized structure of ZnReH2.

```
8
Lattice="4.213 0.000 0.000 0.000 4.213 0.000 -2.107 -2.107 3.997" Properties=species:S:1:pos:R:3 pbc="T T T"
H 1.020 3.160 0.999
H 1.053 1.086 2.997
H 3.193 1.053 0.999
H -1.053 -1.086 2.997
Re 0.000 0.000 0.000
Re 0.000 2.107 1.998
Zn 2.107 2.107 0.000
Zn 2.107 0.000 1.998
```

Results
uncorrected energy = -178.74 eV/cell

***

VASP calculation (meta-GGA SCAN) on a PBEsol-optimized structure of ZrRe3H.

```
5
Lattice="-1.054 -1.972 -3.362 3.683 0.637 -1.529 1.277 -3.466 1.632" Properties=species:S:1:pos:R:3 pbc="T T T"
Re -0.527 -0.986 -1.681
Re 1.841 0.318 -0.764
Re 0.638 -1.733 0.816
Zr 1.953 -2.400 -1.629
H 0.000 0.000 0.000
```

Results
uncorrected energy = -246.50 eV/cell

***

VASP calculation (meta-GGA SCAN) on a PBEsol-optimized structure of Zr2ReH2.

```
5
Lattice="-2.831 -1.462 -0.723 1.562 -2.013 -2.044 1.470 -2.033 5.736" Properties=species:S:1:pos:R:3 pbc="T T T"
Zr 0.605 -2.729 3.149
Zr -0.403 -2.780 -0.181
H -0.997 -2.616 1.815
H 1.199 -2.892 1.154
Re 0.000 0.000 0.000
```

Results
uncorrected energy = -142.15 eV/cell

***

VASP calculation (meta-GGA SCAN) on a PBEsol-optimized structure of ZrReH3.

```
5
Lattice="3.567 0.000 0.000 0.000 3.567 0.000 0.000 0.000 3.567" Properties=species:S:1:pos:R:3 pbc="T T T"
H 0.000 1.784 0.000
H 1.784 0.000 0.000
H 0.000 0.000 1.784
Zr 0.000 0.000 0.000
Re 1.784 1.784 1.784
```

Results
uncorrected energy = -108.76 eV/cell

***

VASP calculation (meta-GGA SCAN) on a PBEsol-optimized structure of H3RhS.

```
5
Lattice="3.461 0.000 0.000 0.000 3.461 0.000 0.000 0.000 3.461" Properties=species:S:1:pos:R:3 pbc="T T T"
S 1.730 1.730 1.730
H 0.000 1.730 0.000
H 0.000 0.000 1.730
H 1.730 0.000 0.000
Rh 0.000 0.000 0.000
```

Results
uncorrected energy = -50.35 eV/cell

***

VASP calculation (meta-GGA SCAN) on a PBEsol-optimized structure of SbHRh2.

```
4
Lattice="-2.614 -2.614 2.057 1.063 -4.058 0.545 1.026 -1.419 3.851" Properties=species:S:1:pos:R:3 pbc="T T T"
Sb -0.263 -4.045 3.226
H 0.000 0.000 0.000
Rh -0.131 -2.023 1.613
Rh -0.394 -6.068 4.840
```

Results
uncorrected energy = -107.77 eV/cell

***

VASP calculation (meta-GGA SCAN) on a PBEsol-optimized structure of SbHRh3.

```
5
Lattice="4.792 0.000 0.000 0.000 4.792 0.000 0.000 0.000 4.792" Properties=species:S:1:pos:R:3 pbc="T T T"
Sb 0.000 0.000 0.000
Rh 0.000 2.396 0.000
Rh 2.396 0.000 0.000
Rh 0.000 0.000 2.396
H 2.396 2.396 2.396
```

Results
distance to the lowest polymorph of the same formula = 1905.9 meV per atom
uncorrected energy = -133.89 eV/cell

***

VASP calculation (meta-GGA SCAN) on a PBEsol-optimized structure of SbHRh3.

```
5
Lattice="-1.550 2.498 2.633 -0.736 -3.020 2.432 3.554 0.464 1.652" Properties=species:S:1:pos:R:3 pbc="T T T"
Rh -0.775 1.249 1.316
Rh -0.368 -1.510 1.216
Rh 1.777 0.232 0.826
Sb 0.634 -0.029 3.358
H 0.000 0.000 0.000
```

Results
distance to the lowest polymorph of the same formula = 2.7 meV per atom
uncorrected energy = -143.40 eV/cell